## Ga2Pd3Au3 (PBE-GGA)

Data for crystalline Ga2Pd3Au3 at its relaxed geometry.

CIF file:
```
data_Ga2Pd3Au3
_chemical_formula_sum 'Ga2 Pd3 Au3'
_cell_length_a 7.0409
_cell_length_b 7.0409
_cell_length_c 3.0491
_cell_angle_alpha 90.00
_cell_angle_beta 90.00
_cell_angle_gamma 120.00
_space_group_name_H-M_alt 'P -6 2 m'
_space_group_IT_number 189
_space_group_name_Hall 'P -6 -2'
loop_
_atom_site_label
_atom_site_type_symbol
_atom_site_fract_x
_atom_site_fract_y
_atom_site_fract_z
Ga1 Ga 0.3333 0.6667 0.0000
Pd1 Pd 0.0000 0.5986 0.5000
Au1 Au 0.0000 0.2370 0.0000
```

Output
As for the total DFT energy (no corrections): -4.29 eV/atom. The size of the total moment is 0.00 μB per cell. The density comes out at 13.31 g cm⁻³. The energy of formation is -2.87 eV/f.u.